*w*
VASP calculation (GGA-PBEsol) on a relaxed structure of ZrCrFe.

Unit cell a=4.8144 b=4.8144 c=8.2023 alpha=90.00 beta=90.00 gamma=118.52
Element x y z (fractional)
1 Zr 0.6684 0.3316 0.1852
2 Zr 0.3345 0.6655 0.3090
3 Zr 0.3345 0.6655 0.6910
4 Zr 0.6684 0.3316 0.8148
5 Cr 0.1598 0.8402 0.0000
6 Cr 0.8332 0.6614 0.5000
7 Cr 0.3386 0.1668 0.5000
8 Cr 0.8325 0.1675 0.5000
9 Fe 0.0037 0.9963 0.2463
10 Fe 0.0037 0.9963 0.7537
11 Fe 0.1656 0.3429 0.0000
12 Fe 0.6571 0.8344 0.0000

Density   7915 kg/m³
Total magnetization   3.07 μB/cell



*x*
VASP calculation (GGA-PBEsol) on a relaxed structure of ZrCrFe.

Unit cell a=4.0400 b=4.0400 c=4.0400 alpha=60.00 beta=60.00 gamma=60.00
Element x y z (fractional)
1 Cr 0.2500 0.2500 0.2500
2 Fe 0.0000 0.0000 0.0000
3 Zr 0.5000 0.5000 0.5000

Density   7090 kg/m³
Total magnetization   0.27 μB/cell



The structures above, arranged from the most stable to the least stable: *w*, *x*.